A relaxed Sm2Mg2Zn crystal. Source: Alexandria, functional GGA-PBE.

Cell: 3.3296 4.7446 8.4362 Å, 73.67 90.00 90.00°
With the nearest neighbours (Å) after each atom.
Atoms (fractional coordinates):
Mg 0.0000 0.2001 0.5998  2 Mg 2.87
Mg 0.0000 0.7999 0.4002  2 Mg 2.87
Sm 0.5000 0.5986 0.8027  3 Sm 3.19-3.33, 4 Zn 3.31, 4 Mg 3.33
Sm 0.5000 0.4014 0.1973  3 Sm 3.19-3.33, 4 Zn 3.31, 4 Mg 3.33
Zn 0.0000 0.0000 0.0000  2 Mg 3.24, 8 Sm 3.31, 2 Zn 3.33

Results
**Space group**: Cmmm
**E_form**: -54 meV per atom



A relaxed AlAsPd2 crystal. Source: Alexandria, functional GGA-PBE.

Cell: 4.1028 4.1028 5.2598 Å, 67.04 67.04 60.00°
With the nearest neighbours (Å) after each atom.
Atoms (fractional coordinates):
Al 0.6751 0.6751 0.9748  6 Pd 2.51-2.58, 1 As 2.64
Pd 0.2698 0.2698 0.1905  3 Al 2.58, 1 Pd 2.85, 3 As 2.87
Pd 0.0675 0.0675 0.7974  3 Al 2.51, 3 As 2.67
As 0.4876 0.4876 0.5373  1 Al 2.64, 6 Pd 2.67-2.87

Results
**Space group**: R3m
**E_form**: -426 meV per atom



A relaxed NbHRh3 crystal. Source: Alexandria, functional GGA-PBE.

Cell: 5.6439 5.6439 5.1057 Å, 90.00 90.00 125.64°
With the nearest neighbours (Å) after each atom.
Atoms (fractional coordinates):
Rh 0.0000 0.0000 0.0000  2 H 1.78
Rh 0.0000 0.0000 0.5000  2 H 1.78
Rh 0.0724 0.4452 0.2500  1 H 2.28, 1 Rh 2.49
Rh 0.5548 0.9276 0.2500  1 H 2.28, 1 Rh 2.49
Rh 0.4452 0.0724 0.7500  1 H 2.28, 1 Rh 2.49
Rh 0.9276 0.5548 0.7500  1 H 2.28, 1 Rh 2.49
Nb 0.4086 0.5914 0.7500  2 H 2.60, 2 Rh 2.60
Nb 0.5914 0.4086 0.2500  2 H 2.60, 2 Rh 2.60
H 0.8762 0.1238 0.7500  2 Rh 1.78
H 0.1238 0.8762 0.2500  2 Rh 1.78

Results
**E**: -7.1154 eV per atom
**Space group**: Cmcm



A relaxed DyTm2Au crystal. Source: Alexandria, functional GGA-PBE.

Cell: 3.5361 3.5361 8.6433 Å, 90.00 90.00 90.00°
With the nearest neighbours (Å) after each atom.
Atoms (fractional coordinates):
Dy 0.5000 0.5000 0.5000  4 Dy 3.54, 8 Tm 3.57
Tm 0.0000 0.0000 0.2057  4 Au 3.07
Tm 0.0000 0.0000 0.7943  4 Au 3.07
Au 0.5000 0.5000 0.0000  8 Tm 3.07

Results
**Space group**: P4/mmm
**E_form**: -412 meV per atom



A relaxed Be3Au crystal. Source: Alexandria, functional GGA-PBE.

Cell: 4.5665 4.5665 4.5665 Å, 116.46 116.46 116.46°
With the nearest neighbours (Å) after each atom.
Atoms (fractional coordinates):
Au 0.0000 0.0000 0.0000  6 Be 2.40, 2 Au 2.61
Be 0.0000 0.5000 0.5000  6 Be 2.40-2.61, 2 Au 2.40
Be 0.5000 0.0000 0.5000  6 Be 2.40-2.61, 2 Au 2.40
Be 0.5000 0.5000 0.0000  2 Au 2.40, 6 Be 2.40-2.61

Results
**Space group**: R-3m
**E_form**: 181 meV per atom



A relaxed NdMgSi crystal. Source: Alexandria, functional GGA-PBE.

Cell: 3.8591 4.2610 9.2433 Å, 103.57 90.00 90.00°
With the nearest neighbours (Å) after each atom.
Atoms (fractional coordinates):
Si 0.8468 0.9529 0.3301  2 Si 2.42
Si 0.3468 0.0367 0.4934  2 Si 2.42
Nd 0.3468 0.4029 0.2316  6 Si 3.01-3.18
Nd 0.8468 0.5867 0.5918  6 Si 3.01-3.18
Mg 0.8470 0.7843 0.9929  1 Si 3.03, 4 Mg 3.21-3.24
Mg 0.3469 0.2061 0.8307  1 Si 3.03, 4 Mg 3.21-3.24

Results
**Space group**: P2_1/m
**E_form (uncorrected)**: -0.44 eV per atom



Ordered V results: 25.58; 17.12; 13.22; 27.02; 11.35; 24.63; unit A^3/atom.